# 1
# Na2ZnO2

A relaxed structure of Na2ZnO2 (PBE-GGA, Alexandria).

Structure (POSCAR):
```
Na2ZnO2
1.0
5.8515 -2.2102 0.0000
5.8515 2.2102 0.0000
-4.3518 0.0000 6.3169
Na Zn O
4 2 4
Direct
0.0374 0.0374 0.2282
0.3302 0.3302 0.9719
0.6698 0.6698 0.0281
0.9626 0.9626 0.7718
0.3587 0.3587 0.3770
0.6413 0.6413 0.6230
0.1877 0.1877 0.1215
0.4825 0.4825 0.6732
0.5175 0.5175 0.3268
0.8123 0.8123 0.8785
```

Calculated values
- Space group: C2/m
- Spin magnetization: 0.00 μB/f.u.
- Raw formation energy: -1342 meV/atom
- VASP energy: -41.07 eV/cell

# 2
# Na2ZnO

A relaxed structure of Na2ZnO (PBE-GGA, Alexandria).

Structure (POSCAR):
```
Na2ZnO
1.0
0.0000 3.2434 3.2434
3.2434 0.0000 3.2434
3.2434 3.2434 0.0000
Na Zn O
2 1 1
Direct
0.2500 0.2500 0.2500
0.7500 0.7500 0.7500
0.0000 0.0000 0.0000
0.5000 0.5000 0.5000
```

Calculated values
- Space group: Fm-3m
- Spin magnetization: 0.00 μB/f.u.
- Raw formation energy: -321 meV/atom
- VASP energy: -10.15 eV/cell

# 3
# NaZnO

A relaxed structure of NaZnO (PBE-GGA, Alexandria).

Structure (POSCAR):
```
NaZnO
1.0
4.1608 0.0000 0.0000
0.0245 5.0808 0.0000
2.0797 2.0053 5.2525
Na Zn O
2 2 2
Direct
0.2294 0.1963 0.0398
0.7706 0.8037 0.9602
0.4939 0.7299 0.5123
0.5061 0.2701 0.4877
0.3614 0.8984 0.7773
0.6386 0.1016 0.2227
```

Calculated values
- Space group: P-1
- Spin magnetization: 0.00 μB/f.u.
- Raw formation energy: -1083 meV/atom
- VASP energy: -21.60 eV/cell